(1)
Computed, not measured: crystalline NdGdNO at its relaxed geometry at the PBE-GGA level of DFT. Values from VASP.

```
&SYSTEM
  ibrav = 0, nat = 16, ntyp = 4
/
ATOMIC_SPECIES
Nd 144.24 Nd.upf
Gd 157.25 Gd.upf
N 14.01 N.upf
O 16.00 O.upf
ATOMIC_POSITIONS angstrom
Nd 0.543 1.065 0.000
Nd 2.847 1.065 2.559
Nd 3.933 7.195 0.000
Nd 6.237 7.195 2.559
Gd 0.502 5.125 0.003
Gd 2.888 5.125 2.562
Gd 3.893 3.135 0.003
Gd 6.278 3.135 2.562
N 0.444 1.094 2.554
N 2.946 1.094 5.114
N 3.834 7.167 2.554
N 6.336 7.167 5.114
O 0.646 5.128 2.566
O 2.745 5.128 0.007
O 4.036 3.132 2.566
O 6.135 3.132 0.007
CELL_PARAMETERS angstrom
6.780 0.000 0.000
0.000 8.260 0.000
0.000 0.000 5.119
```

Summary:
Density, g/cm3: 7.7

=====

(2)
Computed, not measured: crystalline HfAg2Pd at its relaxed geometry at the PBE-GGA level of DFT. Values from VASP.

```
&SYSTEM
  ibrav = 0, nat = 4, ntyp = 3
/
ATOMIC_SPECIES
Hf 178.49 Hf.upf
Ag 107.87 Ag.upf
Pd 106.42 Pd.upf
ATOMIC_POSITIONS angstrom
Hf 0.000 0.000 0.000
Ag 1.635 1.635 1.635
Ag 3.270 3.270 3.270
Pd 4.906 4.906 4.906
CELL_PARAMETERS angstrom
0.000 3.270 3.270
3.270 0.000 3.270
3.270 3.270 0.000
```

Summary:
Energy of formation from the pure elements, kJ/mol of atoms: -21
Density, g/cm3: 11.9

=====

(3)
Computed, not measured: crystalline YBeAg2 at its relaxed geometry at the PBE-GGA level of DFT. Values from VASP.

```
&SYSTEM
  ibrav = 0, nat = 4, ntyp = 3
/
ATOMIC_SPECIES
Y 88.91 Y.upf
Be 9.01 Be.upf
Ag 107.87 Ag.upf
ATOMIC_POSITIONS angstrom
Y 0.000 0.000 0.000
Be 4.985 4.985 4.985
Ag 1.662 1.662 1.662
Ag 3.323 3.323 3.323
CELL_PARAMETERS angstrom
0.000 3.323 3.323
3.323 0.000 3.323
3.323 3.323 0.000
```

Summary:
Density, g/cm3: 7.1

=====

(4)
Computed, not measured: crystalline Co4B3 at its relaxed geometry at the PBE-GGA level of DFT. Values from VASP.

```
&SYSTEM
  ibrav = 0, nat = 14, ntyp = 2
/
ATOMIC_SPECIES
Co 58.93 Co.upf
B 10.81 B.upf
ATOMIC_POSITIONS angstrom
Co 2.135 1.251 3.859
Co 1.558 0.338 1.587
Co 1.984 1.251 7.420
Co 0.829 -0.338 5.346
Co 4.018 0.338 2.173
Co 2.864 -1.251 0.099
Co 3.290 -0.338 5.932
Co 2.712 -1.251 3.660
B 2.788 2.073 1.880
B 0.116 0.378 7.071
B 0.844 -0.378 3.311
B 4.004 0.378 4.208
B 4.732 -0.378 0.449
B 2.060 -2.073 5.639
CELL_PARAMETERS angstrom
3.152 -2.448 0.000
3.152 2.448 0.000
-1.457 0.000 7.519
```

Summary:
Density, g/cm3: 7.7

=====

(5)
Computed, not measured: crystalline YLu2Re at its relaxed geometry at the PBE-GGA level of DFT. Values from VASP.

```
&SYSTEM
  ibrav = 0, nat = 4, ntyp = 3
/
ATOMIC_SPECIES
Y 88.91 Y.upf
Lu 174.97 Lu.upf
Re 186.21 Re.upf
ATOMIC_POSITIONS angstrom
Y 0.000 0.000 0.000
Lu 1.796 1.796 1.796
Lu 3.593 3.593 3.593
Re 5.389 5.389 5.389
CELL_PARAMETERS angstrom
0.000 3.593 3.593
3.593 0.000 3.593
3.593 3.593 0.000
```

Summary:
Energy of formation from the pure elements, kJ/mol of atoms: 26
Density, g/cm3: 11.2

=====

(6)
Computed, not measured: crystalline LiBeCoSn at its relaxed geometry at the PBE-GGA level of DFT. Values from VASP.

```
&SYSTEM
  ibrav = 0, nat = 4, ntyp = 4
/
ATOMIC_SPECIES
Li 6.94 Li.upf
Be 9.01 Be.upf
Co 58.93 Co.upf
Sn 118.71 Sn.upf
ATOMIC_POSITIONS angstrom
Li 0.000 0.000 0.000
Be 2.925 2.925 2.925
Co 4.387 4.387 4.387
Sn 1.462 1.462 1.462
CELL_PARAMETERS angstrom
0.000 2.925 2.925
2.925 0.000 2.925
2.925 2.925 0.000
```

Summary:
Density, g/cm3: 6.4

=====

(7)
Computed, not measured: crystalline TaZnCoMo at its relaxed geometry at the PBE-GGA level of DFT. Values from VASP.

```
&SYSTEM
  ibrav = 0, nat = 4, ntyp = 4
/
ATOMIC_SPECIES
Ta 180.95 Ta.upf
Zn 65.41 Zn.upf
Co 58.93 Co.upf
Mo 95.94 Mo.upf
ATOMIC_POSITIONS angstrom
Ta 0.000 0.000 0.000
Zn 3.090 3.090 3.090
Co 4.634 4.634 4.634
Mo 1.545 1.545 1.545
CELL_PARAMETERS angstrom
0.000 3.090 3.090
3.090 0.000 3.090
3.090 3.090 0.000
```

Summary:
Energy of formation from the pure elements, kJ/mol of atoms: 16
Density, g/cm3: 11.3

=====

(8)
Computed, not measured: crystalline CuCl2 at its relaxed geometry at the PBE-GGA level of DFT. Values from VASP.

```
&SYSTEM
  ibrav = 0, nat = 6, ntyp = 2
/
ATOMIC_SPECIES
Cu 63.55 Cu.upf
Cl 35.45 Cl.upf
ATOMIC_POSITIONS angstrom
Cu 1.839 1.983 6.026
Cu 1.839 -1.983 0.000
Cl 1.839 2.088 10.701
Cl 1.839 0.160 7.379
Cl 1.839 -0.160 1.353
Cl 1.839 -2.088 4.676
CELL_PARAMETERS angstrom
1.839 -2.947 0.000
1.839 2.947 0.000
0.000 0.000 12.051
```

Summary:
Density, g/cm3: 3.4

=====

Number 1: final energy -7.7313 eV/atom. Number 2: final energy -5.4112 eV/atom. Number 3: final energy -3.9262 eV/atom. Number 4: final energy -7.1936 eV/atom. Number 5: final energy -6.7192 eV/atom. Number 6: final energy -4.0831 eV/atom. Number 7: final energy -7.6014 eV/atom. Number 8: final energy -2.8667 eV/atom.